# 1
First-principles (PBE) data for crystalline RbFe2PdCl8 at its relaxed geometry, as listed in Alexandria via LeMat-Bulk.

The structure in CIF format:
```
data_RbFe2PdCl8
_cell_length_a 13.855
_cell_length_b 6.759
_cell_length_c 8.810
_cell_angle_alpha 90.00
_cell_angle_beta 116.47
_cell_angle_gamma 90.00
_symmetry_space_group_name_H-M 'C 1 2/m 1'
_symmetry_Int_Tables_number 12
loop_
_symmetry_equiv_pos_as_xyz
'x,y,z'
'-x,-y,-z'
'-x,y,-z'
'x,-y,z'
'x+1/2,y+1/2,z'
'-x+1/2,-y+1/2,-z'
'-x+1/2,y+1/2,-z'
'x+1/2,-y+1/2,z'
loop_
_atom_site_label
_atom_site_fract_x
_atom_site_fract_y
_atom_site_fract_z
_atom_site_occupancy
Rb1 0.000 0.000 0.000 1
Fe1 0.189 0.000 0.661 1
Pd1 0.000 0.500 0.500 1
Cl1 0.102 0.257 0.708 1
Cl2 0.144 0.500 0.140 1
Cl3 0.177 0.000 0.404 1
```



# 2
# PBE FePdSCl2, optimized geometry
data_FePdSCl2
_cell_length_a 4.742
_cell_length_b 4.742
_cell_length_c 4.193
_cell_angle_alpha 90.00
_cell_angle_beta 90.00
_cell_angle_gamma 90.00
_symmetry_space_group_name_H-M 'P 4/m m m'
_symmetry_Int_Tables_number 123
_symmetry_space_group_name_Hall '-P 4 2'
loop_
_atom_site_label
_atom_site_fract_x
_atom_site_fract_y
_atom_site_fract_z
_atom_site_occupancy
Fe1 0.000 0.000 0.000 1
Pd1 0.500 0.500 0.500 1
S1 0.000 0.000 0.500 1
Cl1 0.000 0.500 0.000 1
# excess energy over the best structure of this formula in the dataset = 0 meV/atom



# 3
# PBE FePdSCl2, optimized geometry
data_FePdSCl2
_cell_length_a 4.753
_cell_length_b 4.753
_cell_length_c 4.845
_cell_angle_alpha 90.00
_cell_angle_beta 90.00
_cell_angle_gamma 90.00
_symmetry_space_group_name_H-M 'P 4/m m m'
_symmetry_Int_Tables_number 123
_symmetry_space_group_name_Hall '-P 4 2'
loop_
_atom_site_label
_atom_site_fract_x
_atom_site_fract_y
_atom_site_fract_z
_atom_site_occupancy
Fe1 0.000 0.000 0.000 1
Pd1 0.500 0.500 0.500 1
S1 0.500 0.500 0.000 1
Cl1 0.000 0.500 0.500 1
# excess energy over the best structure of this formula in the dataset = 141 meV/atom



# 4
First-principles (PBE) data for crystalline FeSb2PdCl at its relaxed geometry, as listed in Alexandria via LeMat-Bulk.

The structure in CIF format:
```
data_FeSb2PdCl
_cell_length_a 5.258
_cell_length_b 5.258
_cell_length_c 4.733
_cell_angle_alpha 90.00
_cell_angle_beta 90.00
_cell_angle_gamma 90.00
_symmetry_space_group_name_H-M 'P 4/m m m'
_symmetry_Int_Tables_number 123
_symmetry_space_group_name_Hall '-P 4 2'
loop_
_atom_site_label
_atom_site_fract_x
_atom_site_fract_y
_atom_site_fract_z
_atom_site_occupancy
Fe1 0.000 0.000 0.000 1
Sb1 0.000 0.500 0.500 1
Pd1 0.500 0.500 0.500 1
Cl1 0.500 0.500 0.000 1
```



# 5
First-principles (PBE) data for crystalline Sr2FePdCl at its relaxed geometry, as listed in Alexandria via LeMat-Bulk.

The structure in CIF format:
```
data_Sr2FePdCl
_cell_length_a 5.931
_cell_length_b 5.931
_cell_length_c 4.669
_cell_angle_alpha 90.00
_cell_angle_beta 90.00
_cell_angle_gamma 90.00
_symmetry_space_group_name_H-M 'P 4/m m m'
_symmetry_Int_Tables_number 123
_symmetry_space_group_name_Hall '-P 4 2'
loop_
_atom_site_label
_atom_site_fract_x
_atom_site_fract_y
_atom_site_fract_z
_atom_site_occupancy
Sr1 0.000 0.500 0.000 1
Fe1 0.000 0.000 0.500 1
Pd1 0.000 0.000 0.000 1
Cl1 0.500 0.500 0.500 1
```



# 6
First-principles (PBE) data for crystalline FeTePdCl2 at its relaxed geometry, as listed in Alexandria via LeMat-Bulk.

The structure in CIF format:
```
data_FeTePdCl2
_cell_length_a 5.384
_cell_length_b 5.384
_cell_length_c 5.079
_cell_angle_alpha 90.00
_cell_angle_beta 90.00
_cell_angle_gamma 90.00
_symmetry_space_group_name_H-M 'P 4/m m m'
_symmetry_Int_Tables_number 123
_symmetry_space_group_name_Hall '-P 4 2'
loop_
_atom_site_label
_atom_site_fract_x
_atom_site_fract_y
_atom_site_fract_z
_atom_site_occupancy
Fe1 0.000 0.000 0.000 1
Te1 0.500 0.500 0.500 1
Pd1 0.500 0.500 0.000 1
Cl1 0.000 0.500 0.500 1
```



# 7
First-principles (PBE) data for crystalline TlFePdCl6 at its relaxed geometry, as listed in Alexandria via LeMat-Bulk.

The structure in CIF format:
```
data_TlFePdCl6
_cell_length_a 6.3906
_cell_length_b 6.3906
_cell_length_c 6.9228
_cell_angle_alpha 90.00
_cell_angle_beta 90.00
_cell_angle_gamma 120.00
_symmetry_space_group_name_H-M 'P 3 1 2'
_symmetry_Int_Tables_number 149
loop_
_symmetry_equiv_pos_as_xyz
'x,y,z'
'-y,x-y,z'
'-x+y,-x,z'
'-y,-x,-z'
'-x+y,y,-z'
'x,x-y,-z'
loop_
_atom_site_label
_atom_site_fract_x
_atom_site_fract_y
_atom_site_fract_z
_atom_site_occupancy
Tl1 0.0000 0.0000 0.0000 1
Fe1 0.6667 0.3333 0.5000 1
Pd1 0.3333 0.6667 0.5000 1
Cl1 0.3876 0.0308 0.6909 1
```



# 8
First-principles (PBE) data for crystalline Tl2FePdCl6 at its relaxed geometry, as listed in Alexandria via LeMat-Bulk.

The structure in CIF format:
```
data_Tl2FePdCl6
_cell_length_a 7.0500
_cell_length_b 7.0500
_cell_length_c 35.8803
_cell_angle_alpha 90.00
_cell_angle_beta 90.00
_cell_angle_gamma 120.00
_symmetry_space_group_name_H-M 'R -3 m'
_symmetry_Int_Tables_number 166
_symmetry_space_group_name_Hall '-R 3 2"'
loop_
_atom_site_label
_atom_site_fract_x
_atom_site_fract_y
_atom_site_fract_z
_atom_site_occupancy
Tl1 0.0000 0.0000 0.1150 1
Tl2 0.0000 0.0000 0.2957 1
Fe1 0.0000 0.0000 0.4147 1
Pd1 0.0000 0.0000 0.0000 1
Pd2 0.0000 0.0000 0.5000 1
Cl1 0.0100 0.5050 0.2922 1
Cl2 0.0117 0.5058 0.1204 1
```



# 9
First-principles (PBE) data for crystalline PmFe2Cl8 at its relaxed geometry, as listed in Alexandria via LeMat-Bulk.

The structure in CIF format:
```
data_PmFe2Cl8
_cell_length_a 13.138
_cell_length_b 9.056
_cell_length_c 6.416
_cell_angle_alpha 90.00
_cell_angle_beta 94.06
_cell_angle_gamma 90.00
_symmetry_space_group_name_H-M 'C 1 2/m 1'
_symmetry_Int_Tables_number 12
loop_
_symmetry_equiv_pos_as_xyz
'x,y,z'
'-x,-y,-z'
'-x,y,-z'
'x,-y,z'
'x+1/2,y+1/2,z'
'-x+1/2,-y+1/2,-z'
'-x+1/2,y+1/2,-z'
'x+1/2,-y+1/2,z'
loop_
_atom_site_label
_atom_site_fract_x
_atom_site_fract_y
_atom_site_fract_z
_atom_site_occupancy
Pm1 0.000 0.000 0.000 1
Fe1 0.189 0.000 0.634 1
Cl1 0.098 0.196 0.759 1
Cl2 0.154 0.500 0.248 1
Cl3 0.171 0.000 0.277 1
```



# 10
First-principles (PBE) data for crystalline Pm7FeCl12 at its relaxed geometry, as listed in Alexandria via LeMat-Bulk.

The structure in CIF format:
```
data_Pm7FeCl12
_cell_length_a 14.6075
_cell_length_b 14.6075
_cell_length_c 10.3607
_cell_angle_alpha 90.00
_cell_angle_beta 90.00
_cell_angle_gamma 120.00
_symmetry_space_group_name_H-M 'R -3'
_symmetry_Int_Tables_number 148
_symmetry_space_group_name_Hall '-R 3'
loop_
_atom_site_label
_atom_site_fract_x
_atom_site_fract_y
_atom_site_fract_z
_atom_site_occupancy
Pm1 0.0000 0.0000 0.0000 1
Pm2 0.0374 0.8714 0.3559 1
Fe1 0.0000 0.0000 0.5000 1
Cl1 0.0248 0.4446 0.1560 1
Cl2 0.0394 0.8768 0.8353 1
```



# 11
First-principles (PBE) data for crystalline PmFeCl at its relaxed geometry, as listed in Alexandria via LeMat-Bulk.

The structure in CIF format:
```
data_PmFeCl
_cell_length_a 6.818
_cell_length_b 3.938
_cell_length_c 11.350
_cell_angle_alpha 90.00
_cell_angle_beta 101.77
_cell_angle_gamma 90.00
_symmetry_space_group_name_H-M 'C 1 m 1'
_symmetry_Int_Tables_number 8
loop_
_symmetry_equiv_pos_as_xyz
'x,y,z'
'x,-y,z'
'x+1/2,y+1/2,z'
'x+1/2,-y+1/2,z'
loop_
_atom_site_label
_atom_site_fract_x
_atom_site_fract_y
_atom_site_fract_z
_atom_site_occupancy
Pm1 0.000 0.000 0.000 1
Pm2 0.125 0.000 0.368 1
Fe1 0.229 0.500 0.184 1
Fe2 0.396 0.000 0.184 1
Cl1 0.013 0.500 0.527 1
Cl2 0.279 0.000 0.841 1
```



# 12
First-principles (PBE) data for crystalline Pm4FeCl5 at its relaxed geometry, as listed in Alexandria via LeMat-Bulk.

The structure in CIF format:
```
data_Pm4FeCl5
_cell_length_a 17.612
_cell_length_b 4.010
_cell_length_c 8.783
_cell_angle_alpha 90.00
_cell_angle_beta 105.88
_cell_angle_gamma 90.00
_symmetry_space_group_name_H-M 'C 1 2/m 1'
_symmetry_Int_Tables_number 12
loop_
_symmetry_equiv_pos_as_xyz
'x,y,z'
'-x,-y,-z'
'-x,y,-z'
'x,-y,z'
'x+1/2,y+1/2,z'
'-x+1/2,-y+1/2,-z'
'-x+1/2,y+1/2,-z'
'x+1/2,-y+1/2,z'
loop_
_atom_site_label
_atom_site_fract_x
_atom_site_fract_y
_atom_site_fract_z
_atom_site_occupancy
Pm1 0.001 0.000 0.236 1
Pm2 0.143 0.500 0.080 1
Fe1 0.000 0.500 0.000 1
Cl1 0.000 0.500 0.500 1
Cl2 0.168 0.000 0.320 1
Cl3 0.169 0.000 0.861 1
```



Number 1: uncorrected formation energy -10.8 eV/f.u., ρ 2.640 g/cm³, total energy -97.41 eV for the cell shown. Number 2: uncorrected formation energy 1.4 eV/f.u., ρ 4.672 g/cm³, total energy -20.04 eV for the cell shown. Number 3: uncorrected formation energy 2.1 eV/f.u., ρ 4.023 g/cm³, total energy -19.33 eV for the cell shown. Number 4: uncorrected formation energy 3.2 eV/f.u., ρ 5.600 g/cm³, total energy -20.54 eV for the cell shown. Number 5: uncorrected formation energy -1.7 eV/f.u., ρ 3.770 g/cm³, total energy -20.57 eV for the cell shown. Number 6: uncorrected formation energy 3.4 eV/f.u., ρ 4.070 g/cm³, total energy -17.07 eV for the cell shown. Number 7: uncorrected formation energy -5.2 eV/f.u., ρ 3.929 g/cm³, total energy -32.32 eV for the cell shown. Number 8: uncorrected formation energy -7.3 eV/f.u., ρ 5.056 g/cm³, total energy -220.64 eV for the cell shown. Number 9: uncorrected formation energy -14.0 eV/f.u., ρ 2.357 g/cm³, total energy -100.88 eV for the cell shown. Number 10: uncorrected formation energy -37.2 eV/f.u., ρ 3.893 g/cm³, total energy -303.15 eV for the cell shown. Number 11: uncorrected formation energy -3.1 eV/f.u., ρ 5.262 g/cm³, total energy -72.78 eV for the cell shown. Number 12: uncorrected formation energy -15.3 eV/f.u., ρ 4.526 g/cm³, total energy -104.06 eV for the cell shown.